DFT (PBE-GGA) results for CoSb2MoPb after structural relaxation.

Summary:
The value obtained for the raw formation energy is 0.72 eV/atom. The density of states at the Fermi level is 5.16 states/eV/f.u. The volume is 117.3 Å³/cell. The total magnetization is 2.6 μB per formula unit.

Unit cell a=4.9023 b=4.8826 c=4.9023 alpha=90.00 beta=90.00 gamma=90.00
Closest atoms and distances in Å follow each position.
Positions (direct):
Mo 0.0000 0.5000 0.0000  2 Co 2.44
Sb 0.0000 0.0000 0.5000  2 Co 2.45
Sb 0.5000 0.0000 0.0000  2 Co 2.45
Co 0.0000 0.0000 0.0000  2 Mo 2.44, 4 Sb 2.45
Pb 0.5000 0.5000 0.5000  8 Sb 3.46, 4 Mo 3.47



DFT (PBE-GGA) results for NaTbPr after structural relaxation.

Summary:
The calculated formation energy comes out at 13.21 kJ per mole of atoms. The density of states at the Fermi level is 3.65 states/eV/f.u. The volume is 104.8 Å³/cell. The total magnetization is 0.0 μB per formula unit. The excess energy over the best structure of this formula in the dataset is 0.033 eV/atom.

Unit cell a=3.5678 b=3.5678 c=8.6076 alpha=101.96 beta=101.96 gamma=90.00
Closest atoms and distances in Å follow each position.
Positions (direct):
Pr 0.6751 0.6751 0.3503  4 Tb 3.55, 4 Pr 3.57, 4 Na 3.85
Na 0.9981 0.9981 0.9962  4 Na 3.57, 4 Tb 3.78, 4 Pr 3.85
Tb 0.3267 0.3267 0.6535  4 Pr 3.55, 4 Tb 3.57, 4 Na 3.78



DFT (PBE-GGA) results for NiIrPt after structural relaxation.

Summary:
The calculated formation energy comes out at 38.52 kJ per mole of atoms. The density of states at the Fermi level is 4.09 states/eV/f.u. The volume is 46.5 Å³/cell. The total magnetization is 1.3 μB per formula unit. The excess energy over the best structure of this formula in the dataset is 0.435 eV/atom.

Unit cell a=4.0363 b=4.0363 c=4.0363 alpha=60.00 beta=60.00 gamma=60.00
Closest atoms and distances in Å follow each position.
Positions (direct):
Ni 0.7500 0.7500 0.7500  4 Ir 2.47, 4 Pt 2.47
Pt 0.0000 0.0000 0.0000  4 Ni 2.47
Ir 0.5000 0.5000 0.5000  4 Ni 2.47



DFT (PBE-GGA) results for Cs2PmCu2Br6 after structural relaxation.

Summary:
The value obtained for the raw formation energy is -1.21 eV/atom. The density of states at the Fermi level is 2.60 states/eV/f.u. The volume is 408.3 Å³/cell. The total magnetization is 0.8 μB per formula unit.

Unit cell a=7.9233 b=7.9253 c=8.9103 alpha=117.81 beta=90.00 gamma=119.99
Closest atoms and distances in Å follow each position.
Positions (direct):
Br 0.2564 0.5127 0.3665  1 Cu 2.52
Br 0.7436 0.4873 0.6335  1 Cu 2.52
Br 0.2100 0.9153 0.2317  1 Cu 2.55
Br 0.7053 0.9153 0.2317  1 Cu 2.55
Br 0.7900 0.0847 0.7683  1 Cu 2.55
Br 0.2947 0.0847 0.7683  1 Cu 2.55
Cs 0.7143 0.4287 0.1994  5 Br 3.67-3.80
Cs 0.2857 0.5713 0.8006  5 Br 3.67-3.80
Cu 0.9607 0.9213 0.8419  1 Cu 2.41, 3 Br 2.52-2.55
Cu 0.0393 0.0787 0.1581  1 Cu 2.41, 3 Br 2.52-2.55
Pm 0.5000 0.0000 0.5000  6 Br 2.88-2.90



DFT (PBE-GGA) results for BaAg3Ru after structural relaxation.

Summary:
The calculated formation energy comes out at 181.05 kJ per mole of atoms. The density of states at the Fermi level is 18.45 states/eV/f.u. The volume is 204.1 Å³/cell. The total magnetization is 3.1 μB per formula unit. The excess energy over the best structure of this formula in the dataset is 1.401 eV/atom.

Unit cell a=5.8881 b=5.8881 c=5.8881 alpha=90.00 beta=90.00 gamma=90.00
Closest atoms and distances in Å follow each position.
Positions (direct):
Ru 0.5000 0.5000 0.5000  12 Ag 4.16
Ba 0.0000 0.0000 0.0000  6 Ag 2.94
Ag 0.0000 0.5000 0.0000  2 Ba 2.94
Ag 0.5000 0.0000 0.0000  2 Ba 2.94
Ag 0.0000 0.0000 0.5000  2 Ba 2.94



DFT (PBE-GGA) results for KRe4Br after structural relaxation.

Summary:
The value obtained for the raw formation energy is 1.43 eV/atom. The density of states at the Fermi level is 5.63 states/eV/f.u. The volume is 112.3 Å³/cell. The total magnetization is 0.0 μB per formula unit.

Unit cell a=5.4158 b=5.4158 c=5.4158 alpha=60.00 beta=60.00 gamma=60.00
Closest atoms and distances in Å follow each position.
Positions (direct):
Re 0.8705 0.3765 0.3765  6 Re 2.68-2.74
Re 0.3765 0.3765 0.3765  6 Re 2.68-2.74
Re 0.3765 0.3765 0.8705  6 Re 2.68-2.74
Re 0.3765 0.8705 0.3765  6 Re 2.68-2.74
K 0.0000 0.0000 0.0000  12 Re 3.18, 4 Br 3.32
Br 0.7500 0.7500 0.7500  12 Re 3.17, 4 K 3.32



DFT (PBE-GGA) results for MgPW2 after structural relaxation.

Summary:
The calculated formation energy comes out at 35.09 kJ per mole of atoms. The density of states at the Fermi level is 2.58 states/eV/f.u. The volume is 63.5 Å³/cell. The total magnetization is 0.0 μB per formula unit. The excess energy over the best structure of this formula in the dataset is 0.269 eV/atom.

Unit cell a=4.3791 b=2.8145 c=5.1652 alpha=85.98 beta=90.00 gamma=90.00
Closest atoms and distances in Å follow each position.
Positions (direct):
W 0.0000 0.8825 0.9988  2 P 2.58, 4 W 2.65-2.81, 2 Mg 2.78
W 0.0000 0.6175 0.5012  2 P 2.58, 4 W 2.65-2.81, 2 Mg 2.78
P 0.5000 0.7500 0.7500  4 W 2.58, 2 P 2.81, 2 Mg 2.85
Mg 0.5000 0.2500 0.2500  8 W 2.78-3.05, 2 Mg 2.81, 4 P 2.85-3.03



DFT (PBE-GGA) results for VRu2W2 after structural relaxation.

Summary:
The calculated formation energy comes out at 59.04 kJ per mole of atoms. The density of states at the Fermi level is 7.08 states/eV/f.u. The volume is 89.8 Å³/cell. The total magnetization is 2.7 μB per formula unit. The excess energy over the best structure of this formula in the dataset is 0.345 eV/atom.

Unit cell a=4.1171 b=4.1171 c=6.0451 alpha=70.09 beta=70.09 gamma=90.00
Closest atoms and distances in Å follow each position.
Positions (direct):
W 0.7500 0.2500 0.5000  4 Ru 2.52
W 0.2500 0.7500 0.5000  4 Ru 2.52
Ru 0.3865 0.3865 0.2270  1 Ru 2.41, 4 W 2.52
Ru 0.6135 0.6135 0.7730  1 Ru 2.41, 4 W 2.52
V 0.0000 0.0000 0.0000  8 Ru 3.15, 8 W 3.35



DFT (PBE-GGA) results for Y3HgPb after structural relaxation.

Summary:
The calculated formation energy comes out at 0.48 kJ per mole of atoms. The density of states at the Fermi level is 4.12 states/eV/f.u. The volume is 175.7 Å³/cell. The total magnetization is 0.0 μB per formula unit. The excess energy over the best structure of this formula in the dataset is 0.000 eV/atom.

Unit cell a=5.6009 b=5.6009 c=5.6009 alpha=90.00 beta=90.00 gamma=90.00
Closest atoms and distances in Å follow each position.
Positions (direct):
Y 0.0000 0.0000 0.5000  2 Hg 2.80
Y 0.5000 0.0000 0.0000  2 Hg 2.80
Y 0.0000 0.5000 0.0000  2 Hg 2.80
Pb 0.5000 0.5000 0.5000  12 Y 3.96
Hg 0.0000 0.0000 0.0000  6 Y 2.80



DFT (PBE-GGA) results for KBBr3 after structural relaxation.

Summary:
The value obtained for the raw formation energy is 0.72 eV/atom. The density of states at the Fermi level is 12.39 states/eV/f.u. The volume is 227.7 Å³/cell. The total magnetization is 1.0 μB per formula unit. The excess energy over the best structure of this formula in the dataset is 1.680 eV/atom.

Unit cell a=6.1064 b=6.1064 c=6.1064 alpha=90.00 beta=90.00 gamma=90.00
Closest atoms and distances in Å follow each position.
Positions (direct):
K 0.0000 0.0000 0.0000  6 Br 3.05
Br 0.5000 0.0000 0.0000  2 K 3.05
Br 0.0000 0.0000 0.5000  2 K 3.05
Br 0.0000 0.5000 0.0000  2 K 3.05
B 0.5000 0.5000 0.5000  12 Br 4.32



DFT (PBE-GGA) results for Nd6SmDyHo2 after structural relaxation.

Summary:
The calculated formation energy comes out at 11.10 kJ per mole of atoms. The density of states at the Fermi level is 14.49 states/eV/f.u. The volume is 684.0 Å³/cell. The total magnetization is 0.0 μB per formula unit.

Unit cell a=9.6884 b=8.9569 c=8.9569 alpha=117.45 beta=93.83 gamma=93.83
Closest atoms and distances in Å follow each position.
Positions (direct):
Nd 0.4451 0.2405 0.8849  7 Nd 3.46-3.81, 1 Ho 3.52, 2 Sm 3.68-3.84
Nd 0.8817 0.2939 0.5119  4 Nd 3.29-3.67, 3 Ho 3.32-3.49, 2 Dy 3.46-3.58
Nd 0.6183 0.4881 0.7061  4 Nd 3.29-3.67, 3 Ho 3.32-3.49, 2 Dy 3.46-3.58
Nd 0.1183 0.7061 0.4881  4 Nd 3.29-3.67, 3 Ho 3.32-3.49, 2 Dy 3.46-3.58
Nd 0.6863 0.0096 0.5633  3 Nd 3.29-3.68, 1 Dy 3.48, 1 Ho 3.49, 1 Sm 3.60
Nd 0.8137 0.4367 0.9904  3 Nd 3.29-3.68, 1 Dy 3.48, 1 Ho 3.49, 1 Sm 3.60
Nd 0.1863 0.5633 0.0096  3 Nd 3.29-3.68, 1 Dy 3.48, 1 Ho 3.49, 1 Sm 3.60
Nd 0.0549 0.1151 0.7595  7 Nd 3.46-3.81, 1 Ho 3.52, 2 Sm 3.68-3.84
Nd 0.3817 0.5119 0.2939  4 Nd 3.29-3.67, 3 Ho 3.32-3.49, 2 Dy 3.46-3.58
Nd 0.3137 0.9904 0.4367  3 Nd 3.29-3.68, 1 Dy 3.48, 1 Ho 3.49, 1 Sm 3.60
Nd 0.5549 0.7595 0.1151  7 Nd 3.46-3.81, 1 Ho 3.52, 2 Sm 3.68-3.84
Nd 0.9451 0.8849 0.2405  7 Nd 3.46-3.81, 1 Ho 3.52, 2 Sm 3.68-3.84
Ho 0.9530 0.7018 0.7991  5 Nd 3.32-3.52, 2 Sm 3.44-3.47, 1 Dy 3.55
Ho 0.0470 0.2982 0.2009  5 Nd 3.32-3.52, 2 Sm 3.44-3.47, 1 Dy 3.55
Ho 0.4530 0.7991 0.7018  5 Nd 3.32-3.52, 2 Sm 3.44-3.47, 1 Dy 3.55
Ho 0.5470 0.2009 0.2982  5 Nd 3.32-3.52, 2 Sm 3.44-3.47, 1 Dy 3.55
Sm 0.7500 0.0281 0.9719  4 Ho 3.44-3.47, 6 Nd 3.60-3.84
Sm 0.2500 0.9719 0.0281  4 Ho 3.44-3.47, 6 Nd 3.60-3.84
Dy 0.2500 0.4104 0.5896  6 Nd 3.46-3.58, 2 Ho 3.55
Dy 0.7500 0.5896 0.4104  6 Nd 3.46-3.58, 2 Ho 3.55



DFT (PBE-GGA) results for Tb2Ga4CuRh3 after structural relaxation.

Summary:
The calculated formation energy comes out at -65.79 kJ per mole of atoms. The density of states at the Fermi level is 6.45 states/eV/f.u. The volume is 180.8 Å³/cell. The total magnetization is 0.0 μB per formula unit.

Unit cell a=4.1531 b=4.1531 c=10.4842 alpha=90.00 beta=90.00 gamma=90.00
Closest atoms and distances in Å follow each position.
Positions (direct):
Rh 0.0000 0.0000 0.5000  4 Ga 2.48
Rh 0.5000 0.0000 0.8635  5 Ga 2.46-2.52
Rh 0.0000 0.5000 0.1365  5 Ga 2.46-2.52
Ga 0.5000 0.5000 0.0000  4 Rh 2.52
Ga 0.0000 0.0000 0.0000  4 Rh 2.52
Ga 0.5000 0.0000 0.6286  3 Rh 2.46-2.48, 2 Cu 2.48
Ga 0.0000 0.5000 0.3714  3 Rh 2.46-2.48, 2 Cu 2.48
Tb 0.0000 0.5000 0.7468  6 Rh 3.18-3.32, 8 Ga 3.19-3.37, 2 Cu 3.32
Tb 0.5000 0.0000 0.2532  6 Rh 3.18-3.32, 8 Ga 3.19-3.37, 2 Cu 3.32
Cu 0.5000 0.5000 0.5000  4 Ga 2.48



DFT (PBE-GGA) results for LiBiSb after structural relaxation.

Summary:
The value obtained for the raw formation energy is -0.11 eV/atom. The density of states at the Fermi level is 1.45 states/eV/f.u. The volume is 78.2 Å³/cell. The total magnetization is 0.0 μB per formula unit. The excess energy over the best structure of this formula in the dataset is 0.108 eV/atom.

Unit cell a=3.9672 b=3.9672 c=5.7039 alpha=110.35 beta=110.35 gamma=90.00
Closest atoms and distances in Å follow each position.
Positions (direct):
Sb 0.9458 0.9458 0.8915  5 Li 3.20-3.43, 5 Bi 3.26-3.31
Li 0.2915 0.2915 0.5830  5 Bi 3.19-3.32, 5 Sb 3.20-3.43
Bi 0.6127 0.6127 0.2255  5 Li 3.19-3.32, 5 Sb 3.26-3.31